## GdLu2Ga (GGA-PBE)

Data for an optimized crystal structure of GdLu2Ga.

Geometry as POSCAR:
```
GdLu2Ga
1.0
3.4744 0.0000 0.0000
0.0000 3.4744 0.0000
0.0000 0.0000 8.7529
Gd Lu Ga
1 2 1
direct
0.0000 0.0000 0.0000
0.5000 0.5000 0.2935
0.5000 0.5000 0.7065
0.0000 0.0000 0.5000
```

## Properties
Formation energy (eV per atom): -0.285



## GdLuGa2 (GGA-PBE)

Data for an optimized crystal structure of GdLuGa2.

Geometry as POSCAR:
```
GdLuGa2
1.0
0.0000 3.5545 3.5545
3.5545 0.0000 3.5545
3.5545 3.5545 0.0000
Gd Lu Ga
1 1 2
direct
0.0000 0.0000 0.0000
0.5000 0.5000 0.5000
0.2500 0.2500 0.2500
0.7500 0.7500 0.7500
```

## Properties
Formation energy (eV per atom): -0.568